Record 1
# Dy7Te2Os2 (PBE, relaxed)
data_Dy7Te2Os2
_chemical_formula_sum 'Dy14 Te4 Os4'
_cell_length_a 3.993
_cell_length_b 15.837
_cell_length_c 9.320
_cell_angle_alpha 90.00
_cell_angle_beta 90.00
_cell_angle_gamma 90.00
_symmetry_space_group_name_H-M 'I m m 2'
_symmetry_Int_Tables_number 44
loop_
_symmetry_equiv_pos_as_xyz
'x,y,z'
'-x,-y,z'
'-x,y,z'
'x,-y,z'
'x+1/2,y+1/2,z+1/2'
'-x+1/2,-y+1/2,z+1/2'
'-x+1/2,y+1/2,z+1/2'
'x+1/2,-y+1/2,z+1/2'
loop_
_atom_site_label
_atom_site_fract_x
_atom_site_fract_y
_atom_site_fract_z
_atom_site_occupancy
Dy1 0.000 0.000 0.000 1
Dy2 0.000 0.133 0.583 1
Dy3 0.000 0.315 0.373 1
Dy4 0.000 0.349 0.739 1
Te1 0.000 0.000 0.334 1
Te2 0.000 0.500 0.236 1
Os1 0.000 0.239 0.068 1
# - Formation energy without anion corrections: -0.661 eV per atom
# - N(E_F): 9.285 states/eV/f.u.
# - Calculated total energy: -6.20 eV/atom

---

Record 2
# Ta2Be3Ir (PBE, relaxed)
data_Ta2Be3Ir
_chemical_formula_sum 'Ta16 Be24 Ir8'
_cell_length_a 5.802
_cell_length_b 7.884
_cell_length_c 13.770
_cell_angle_alpha 90.00
_cell_angle_beta 90.00
_cell_angle_gamma 90.00
_symmetry_space_group_name_H-M 'F m m m'
_symmetry_Int_Tables_number 69
_symmetry_space_group_name_Hall '-F 2 2'
loop_
_atom_site_label
_atom_site_fract_x
_atom_site_fract_y
_atom_site_fract_z
_atom_site_occupancy
Ta1 0.248 0.000 0.000 1
Ta2 0.250 0.250 0.250 1
Be1 0.000 0.000 0.161 1
Be2 0.000 0.242 0.079 1
Ir1 0.000 0.000 0.335 1
# - E_form: -0.1999 eV per atom
# - N(E_F): 4.468 states/eV/f.u.
# - Calculated total energy: -7.49 eV/atom

---

Record 3
# NbMoRu2 (PBE, relaxed)
data_NbMoRu2
_chemical_formula_sum 'Nb4 Mo4 Ru8'
_cell_length_a 6.302
_cell_length_b 6.302
_cell_length_c 6.302
_cell_angle_alpha 90.00
_cell_angle_beta 90.00
_cell_angle_gamma 90.00
_symmetry_space_group_name_H-M 'F m -3 m'
_symmetry_Int_Tables_number 225
_symmetry_space_group_name_Hall '-F 4 2 3'
loop_
_atom_site_label
_atom_site_fract_x
_atom_site_fract_y
_atom_site_fract_z
_atom_site_occupancy
Nb1 0.000 0.000 0.000 1
Mo1 0.000 0.000 0.500 1
Ru1 0.250 0.250 0.250 1
# - E_form: 0.1070 eV per atom
# - N(E_F): 9.364 states/eV/f.u.
# - Energy relative to the lowest polymorph listed for this composition: 0.53 eV per formula unit
# - Calculated total energy: -9.76 eV/atom

---

Record 4
# La6Y12Ho (PBE, relaxed)
data_La6Y12Ho
_chemical_formula_sum 'La18 Y36 Ho3'
_cell_length_a 11.2420
_cell_length_b 11.2420
_cell_length_c 17.9086
_cell_angle_alpha 90.00
_cell_angle_beta 90.00
_cell_angle_gamma 120.00
_symmetry_space_group_name_H-M 'R -3 m'
_symmetry_Int_Tables_number 166
_symmetry_space_group_name_Hall '-R 3 2"'
loop_
_atom_site_label
_atom_site_fract_x
_atom_site_fract_y
_atom_site_fract_z
_atom_site_occupancy
La1 0.0700 0.5350 0.2668 1
Y1 0.1026 0.5513 0.9122 1
Y2 0.1061 0.2122 0.9074 1
Ho1 0.0000 0.0000 0.5000 1
# - E_form: 0.1278 eV per atom
# - N(E_F): 29.651 states/eV/f.u.
# - Energy relative to the lowest polymorph listed for this composition: 0.00 eV per formula unit
# - Calculated total energy: -5.75 eV/atom

---

Q: What is the calculated total energy in the second record?
A: -7.49 eV/atom

---

Copy entry 2 word for word.
# Ta2Be3Ir (PBE, relaxed)
data_Ta2Be3Ir
_chemical_formula_sum 'Ta16 Be24 Ir8'
_cell_length_a 5.802
_cell_length_b 7.884
_cell_length_c 13.770
_cell_angle_alpha 90.00
_cell_angle_beta 90.00
_cell_angle_gamma 90.00
_symmetry_space_group_name_H-M 'F m m m'
_symmetry_Int_Tables_number 69
_symmetry_space_group_name_Hall '-F 2 2'
loop_
_atom_site_label
_atom_site_fract_x
_atom_site_fract_y
_atom_site_fract_z
_atom_site_occupancy
Ta1 0.248 0.000 0.000 1
Ta2 0.250 0.250 0.250 1
Be1 0.000 0.000 0.161 1
Be2 0.000 0.242 0.079 1
Ir1 0.000 0.000 0.335 1
# - E_form: -0.1999 eV per atom
# - N(E_F): 4.468 states/eV/f.u.
# - Calculated total energy: -7.49 eV/atom